# 1
CaAl2Fe: relaxed, PBE.

```
data_CaAl2Fe
_chemical_formula_sum 'Ca1 Al2 Fe1'
_symmetry_space_group_name_H-M 'P 1'
_symmetry_Int_Tables_number 1
_cell_length_a 3.216
_cell_length_b 3.216
_cell_length_c 7.049
_cell_angle_alpha 90.00
_cell_angle_beta 90.00
_cell_angle_gamma 90.00
loop_
_symmetry_equiv_pos_as_xyz
'x,y,z'
loop_
_atom_site_label
_atom_site_type_symbol
_atom_site_fract_x
_atom_site_fract_y
_atom_site_fract_z
Ca1 Ca 0.000 0.000 0.529
Fe1 Fe 0.500 0.500 0.831
Al1 Al 0.000 0.000 0.952
Al2 Al 0.500 0.500 0.188
```

Values from the calculation:
electronic total energy	-0.329	Ry/atom
space group	No. 99

---

# 2
CaAlFe2: relaxed, PBE.

```
data_CaAlFe2
_chemical_formula_sum 'Ca1 Al1 Fe2'
_symmetry_space_group_name_H-M 'P 1'
_symmetry_Int_Tables_number 1
_cell_length_a 4.022
_cell_length_b 4.022
_cell_length_c 5.865
_cell_angle_alpha 69.97
_cell_angle_beta 69.97
_cell_angle_gamma 59.99
loop_
_symmetry_equiv_pos_as_xyz
'x,y,z'
loop_
_atom_site_label
_atom_site_type_symbol
_atom_site_fract_x
_atom_site_fract_y
_atom_site_fract_z
Ca1 Ca 0.259 0.259 0.223
Fe1 Fe 0.061 0.061 0.818
Fe2 Fe 0.729 0.729 0.813
Al1 Al 0.451 0.451 0.647
```

Values from the calculation:
electronic total energy	-0.417	Ry/atom
space group	No. 160

---

# 3
CaAlFe2: relaxed, PBE.

```
data_CaAlFe2
_chemical_formula_sum 'Ca1 Al1 Fe2'
_symmetry_space_group_name_H-M 'P 1'
_symmetry_Int_Tables_number 1
_cell_length_a 2.837
_cell_length_b 2.837
_cell_length_c 7.971
_cell_angle_alpha 90.00
_cell_angle_beta 90.00
_cell_angle_gamma 89.96
loop_
_symmetry_equiv_pos_as_xyz
'x,y,z'
loop_
_atom_site_label
_atom_site_type_symbol
_atom_site_fract_x
_atom_site_fract_y
_atom_site_fract_z
Ca1 Ca 0.500 0.500 0.750
Fe1 Fe 0.000 0.000 0.048
Fe2 Fe 0.000 0.000 0.452
Al1 Al 0.500 0.500 0.250
```

Values from the calculation:
electronic total energy	-0.397	Ry/atom
space group	No. 123

---

# 4
Ca2AlFe: relaxed, PBE.

```
data_Ca2AlFe
_chemical_formula_sum 'Ca2 Al1 Fe1'
_symmetry_space_group_name_H-M 'P 1'
_symmetry_Int_Tables_number 1
_cell_length_a 4.993
_cell_length_b 4.993
_cell_length_c 4.993
_cell_angle_alpha 120.08
_cell_angle_beta 120.08
_cell_angle_gamma 89.86
loop_
_symmetry_equiv_pos_as_xyz
'x,y,z'
loop_
_atom_site_label
_atom_site_type_symbol
_atom_site_fract_x
_atom_site_fract_y
_atom_site_fract_z
Ca1 Ca 0.000 0.000 0.000
Ca2 Ca 0.250 0.750 0.500
Fe1 Fe 0.500 0.500 0.000
Al1 Al 0.750 0.250 0.500
```

Values from the calculation:
electronic total energy	-0.278	Ry/atom
space group	No. 119

---

# 5
CaAl2Fe: relaxed, PBE.

```
data_CaAl2Fe
_chemical_formula_sum 'Ca1 Al2 Fe1'
_symmetry_space_group_name_H-M 'P 1'
_symmetry_Int_Tables_number 1
_cell_length_a 3.892
_cell_length_b 2.954
_cell_length_c 6.828
_cell_angle_alpha 90.00
_cell_angle_beta 90.00
_cell_angle_gamma 90.00
loop_
_symmetry_equiv_pos_as_xyz
'x,y,z'
loop_
_atom_site_label
_atom_site_type_symbol
_atom_site_fract_x
_atom_site_fract_y
_atom_site_fract_z
Ca1 Ca 0.000 0.626 0.506
Fe1 Fe 0.500 0.624 0.882
Al1 Al 0.000 0.125 0.920
Al2 Al 0.500 0.125 0.192
```

Values from the calculation:
electronic total energy	-0.327	Ry/atom
space group	No. 25

---

# 6
Ca2AlFe: relaxed, PBE.

```
data_Ca2AlFe
_chemical_formula_sum 'Ca2 Al1 Fe1'
_symmetry_space_group_name_H-M 'P 1'
_symmetry_Int_Tables_number 1
_cell_length_a 4.259
_cell_length_b 4.336
_cell_length_c 6.046
_cell_angle_alpha 68.96
_cell_angle_beta 90.00
_cell_angle_gamma 90.00
loop_
_symmetry_equiv_pos_as_xyz
'x,y,z'
loop_
_atom_site_label
_atom_site_type_symbol
_atom_site_fract_x
_atom_site_fract_y
_atom_site_fract_z
Ca1 Ca 0.000 0.982 0.912
Ca2 Ca 0.500 0.270 0.336
Fe1 Fe 0.000 0.678 0.520
Al1 Al 0.500 0.571 0.732
```

Values from the calculation:
electronic total energy	-0.288	Ry/atom
space group	No. 38

---

# 7
CaAl2Fe: relaxed, PBE.

```
data_CaAl2Fe
_chemical_formula_sum 'Ca1 Al2 Fe1'
_symmetry_space_group_name_H-M 'P 1'
_symmetry_Int_Tables_number 1
_cell_length_a 5.468
_cell_length_b 5.468
_cell_length_c 5.468
_cell_angle_alpha 143.72
_cell_angle_beta 128.30
_cell_angle_gamma 64.79
loop_
_symmetry_equiv_pos_as_xyz
'x,y,z'
loop_
_atom_site_label
_atom_site_type_symbol
_atom_site_fract_x
_atom_site_fract_y
_atom_site_fract_z
Ca1 Ca 0.485 0.485 0.000
Fe1 Fe 0.224 0.724 0.500
Al1 Al 0.024 0.024 0.000
Al2 Al 0.768 0.268 0.500
```

Values from the calculation:
electronic total energy	-0.315	Ry/atom
space group	No. 44

---

# 8
CaAlFe2: relaxed, PBE.

```
data_CaAlFe2
_chemical_formula_sum 'Ca1 Al1 Fe2'
_symmetry_space_group_name_H-M 'P 1'
_symmetry_Int_Tables_number 1
_cell_length_a 3.135
_cell_length_b 3.101
_cell_length_c 7.717
_cell_angle_alpha 66.29
_cell_angle_beta 90.00
_cell_angle_gamma 90.00
loop_
_symmetry_equiv_pos_as_xyz
'x,y,z'
loop_
_atom_site_label
_atom_site_type_symbol
_atom_site_fract_x
_atom_site_fract_y
_atom_site_fract_z
Ca1 Ca 0.500 0.732 0.768
Fe1 Fe 0.000 0.927 0.073
Fe2 Fe 0.500 0.273 0.227
Al1 Al 0.000 0.567 0.432
```

Values from the calculation:
electronic total energy	-0.412	Ry/atom
space group	No. 25

---

# 9
Ca2AlFe: relaxed, PBE.

```
data_Ca2AlFe
_chemical_formula_sum 'Ca2 Al1 Fe1'
_symmetry_space_group_name_H-M 'P 1'
_symmetry_Int_Tables_number 1
_cell_length_a 5.391
_cell_length_b 5.391
_cell_length_c 4.778
_cell_angle_alpha 63.70
_cell_angle_beta 63.70
_cell_angle_gamma 52.62
loop_
_symmetry_equiv_pos_as_xyz
'x,y,z'
loop_
_atom_site_label
_atom_site_type_symbol
_atom_site_fract_x
_atom_site_fract_y
_atom_site_fract_z
Ca1 Ca 0.000 0.000 0.000
Ca2 Ca 0.500 0.500 0.500
Fe1 Fe 0.250 0.250 0.250
Al1 Al 0.750 0.750 0.750
```

Values from the calculation:
electronic total energy	-0.277	Ry/atom
space group	No. 139

---

| no. | formation enthalpy at 0 K (kJ/mol of formula units) |
| --- | --- |
| 1 | 7 |
| 2 | -2 |
| 3 | 100 |
| 4 | 104 |
| 5 | 17 |
| 6 | 51 |
| 7 | 79 |
| 8 | 25 |
| 9 | 111 |